*w*
# GGA-PBE TmAlInTe3, optimized geometry
data_TmAlInTe3
_space_group_name_H-M_alt 'C m c m'
_space_group_IT_number 63
_space_group_name_Hall '-C 2c 2'
_cell_length_a 4.4147
_cell_length_b 15.0356
_cell_length_c 11.3247
_cell_angle_alpha 90.00
_cell_angle_beta 90.00
_cell_angle_gamma 90.00
loop_
_atom_site_label
_atom_site_fract_x
_atom_site_fract_y
_atom_site_fract_z
Tm1 0.0000 0.0000 0.0000
Al1 0.0000 0.4674 0.2500
In1 0.0000 0.2320 0.7500
Te1 0.0000 0.0796 0.2500
Te2 0.0000 0.3637 0.0557
# - M_tot: 0.0 μB per formula unit
# - Density: 6.13 g/cm3
# - Crystal system: orthorhombic


*x*
# GGA-PBE TmAlInTe3, optimized geometry
data_TmAlInTe3
_space_group_name_H-M_alt 'P n m a'
_space_group_IT_number 62
_cell_length_a 11.8510
_cell_length_b 4.9850
_cell_length_c 12.5500
_cell_angle_alpha 90.00
_cell_angle_beta 90.00
_cell_angle_gamma 90.00
loop_
_space_group_symop_operation_xyz
'x,y,z'
'-x,-y,-z'
'-x+1/2,-y,z+1/2'
'x+1/2,y,-z+1/2'
'x+1/2,-y+1/2,-z+1/2'
'-x+1/2,y+1/2,z+1/2'
'-x,y+1/2,-z'
'x,-y+1/2,z'
loop_
_atom_site_label
_atom_site_fract_x
_atom_site_fract_y
_atom_site_fract_z
Tm1 0.0223 0.2500 0.1854
Al1 0.2394 0.2500 0.7744
In1 0.1880 0.2500 0.4963
Te1 0.0493 0.7500 0.3495
Te2 0.0837 0.2500 0.9324
Te3 0.2136 0.7500 0.6876
# - M_tot: 0.0 μB per formula unit
# - Density: 6.21 g/cm3
# - Crystal system: orthorhombic


Which structure is most stable, and how do the rest compare? From most to least stable: *w*, *x*.


*w*
# GGA-PBE Y2AlZn2In, optimized geometry
data_Y2AlZn2In
_space_group_name_H-M_alt 'C 1 m 1'
_space_group_IT_number 8
_cell_length_a 10.6860
_cell_length_b 4.5769
_cell_length_c 7.1747
_cell_angle_alpha 90.00
_cell_angle_beta 131.63
_cell_angle_gamma 90.00
loop_
_space_group_symop_operation_xyz
'x,y,z'
'x,-y,z'
'x+1/2,y+1/2,z'
'x+1/2,-y+1/2,z'
loop_
_atom_site_label
_atom_site_fract_x
_atom_site_fract_y
_atom_site_fract_z
Y1 0.0000 0.0000 0.0000
Y2 0.0049 0.0000 0.5068
Al1 0.3328 0.0000 0.5690
Zn1 0.1589 0.5000 0.8777
Zn2 0.1803 0.5000 0.4588
In1 0.3364 0.0000 0.1021
# - M_tot: 0.2 μB per formula unit
# - Density: 5.70 g/cm3
# - Crystal system: monoclinic


*x*
# GGA-PBE Y2AlZn2In, optimized geometry
data_Y2AlZn2In
_space_group_name_H-M_alt 'P 1 m 1'
_space_group_IT_number 6
_cell_length_a 11.3088
_cell_length_b 4.6185
_cell_length_c 11.3145
_cell_angle_alpha 90.00
_cell_angle_beta 109.46
_cell_angle_gamma 90.00
loop_
_space_group_symop_operation_xyz
'x,y,z'
'x,-y,z'
loop_
_atom_site_label
_atom_site_fract_x
_atom_site_fract_y
_atom_site_fract_z
Y1 0.0000 0.0000 0.0000
Y2 0.1220 0.5000 0.3720
Y3 0.2444 0.0000 0.7442
Y4 0.3704 0.5000 0.1240
Y5 0.4925 0.0000 0.4963
Y6 0.6147 0.5000 0.8682
Y7 0.7451 0.0000 0.2432
Y8 0.8749 0.5000 0.6193
Al1 0.2460 0.0000 0.2475
Al2 0.3686 0.5000 0.6201
Al3 0.4937 0.0000 0.9952
Al4 0.9965 0.0000 0.4949
Zn1 0.0006 0.0000 0.2519
Zn2 0.1225 0.5000 0.6169
Zn3 0.2521 0.0000 0.0003
Zn4 0.3669 0.5000 0.3721
Zn5 0.4898 0.0000 0.7450
Zn6 0.6150 0.5000 0.1154
Zn7 0.7496 0.0000 0.4951
Zn8 0.8697 0.5000 0.8707
In1 0.1220 0.5000 0.8717
In2 0.6206 0.5000 0.3710
In3 0.7454 0.0000 0.7455
In4 0.8706 0.5000 0.1208
# - M_tot: 0.0 μB per formula unit
# - Density: 5.37 g/cm3
# - Crystal system: monoclinic


Which structure is most stable, and how do the rest compare? From most to least stable: *w*, *x*.


*w*
# GGA-PBE Zr2Al2In, optimized geometry
data_Zr2Al2In
_space_group_name_H-M_alt 'I 4/m m m'
_space_group_IT_number 139
_space_group_name_Hall '-I 4 2'
_cell_length_a 3.9355
_cell_length_b 3.9355
_cell_length_c 13.9145
_cell_angle_alpha 90.00
_cell_angle_beta 90.00
_cell_angle_gamma 90.00
loop_
_atom_site_label
_atom_site_fract_x
_atom_site_fract_y
_atom_site_fract_z
Zr1 0.0000 0.0000 0.0945
Al1 0.0000 0.5000 0.2500
In1 0.0000 0.0000 0.5000
# - M_tot: 0.0 μB per formula unit
# - Density: 5.41 g/cm3
# - Crystal system: tetragonal


*x*
# GGA-PBE Zr2Al2In, optimized geometry
data_Zr2Al2In
_space_group_name_H-M_alt 'I 4/m m m'
_space_group_IT_number 139
_space_group_name_Hall '-I 4 2'
_cell_length_a 4.4009
_cell_length_b 4.4009
_cell_length_c 11.9601
_cell_angle_alpha 90.00
_cell_angle_beta 90.00
_cell_angle_gamma 90.00
loop_
_atom_site_label
_atom_site_fract_x
_atom_site_fract_y
_atom_site_fract_z
Zr1 0.0000 0.5000 0.2500
Al1 0.0000 0.0000 0.1018
In1 0.0000 0.0000 0.5000
# - M_tot: 0.0 μB per formula unit
# - Density: 5.04 g/cm3
# - Crystal system: tetragonal


Which structure is most stable, and how do the rest compare? From most to least stable: *w*, *x*.


*w*
# GGA-PBE LiAlSbIr, optimized geometry
data_LiAlSbIr
_space_group_name_H-M_alt 'F -4 3 m'
_space_group_IT_number 216
_space_group_name_Hall 'F -4 2 3'
_cell_length_a 6.3390
_cell_length_b 6.3390
_cell_length_c 6.3390
_cell_angle_alpha 90.00
_cell_angle_beta 90.00
_cell_angle_gamma 90.00
loop_
_atom_site_label
_atom_site_fract_x
_atom_site_fract_y
_atom_site_fract_z
Li1 0.0000 0.0000 0.0000
Al1 0.2500 0.2500 0.7500
Sb1 0.2500 0.2500 0.2500
Ir1 0.0000 0.0000 0.5000
# - M_tot: 0.0 μB per formula unit
# - Density: 9.07 g/cm3
# - Crystal system: cubic


*x*
# GGA-PBE LiAlSbIr, optimized geometry
data_LiAlSbIr
_space_group_name_H-M_alt 'F -4 3 m'
_space_group_IT_number 216
_space_group_name_Hall 'F -4 2 3'
_cell_length_a 6.3719
_cell_length_b 6.3719
_cell_length_c 6.3719
_cell_angle_alpha 90.00
_cell_angle_beta 90.00
_cell_angle_gamma 90.00
loop_
_atom_site_label
_atom_site_fract_x
_atom_site_fract_y
_atom_site_fract_z
Li1 0.0000 0.0000 0.0000
Al1 0.0000 0.0000 0.5000
Sb1 0.2500 0.2500 0.2500
Ir1 0.2500 0.2500 0.7500
# - M_tot: 0.0 μB per formula unit
# - Density: 8.93 g/cm3
# - Crystal system: cubic


Which structure is most stable, and how do the rest compare? From most to least stable: *w*, *x*.